CrCo | SCAN | PBEsol geometry

Output
**Space-group type**: P-3m1
**Energy of formation from the pure elements**: 0.29 eV/atom
**Crystal system**: trigonal

a b c (Å): 2.4555 2.4555 8.0736
angles (deg): 90.00 90.00 120.00
Each line ends with the local moment (μB).
Atoms (fractional coordinates):
Co 0.3333 0.6667 0.8756  -1.18
Co 0.6667 0.3333 0.1244  -1.18
Cr 0.3333 0.6667 0.3631  0.44
Cr 0.6667 0.3333 0.6369  0.44

Cr2Co3 | SCAN | PBEsol geometry

Output
**Space-group type**: R-3m
**Energy of formation from the pure elements**: 0.34 eV/atom
**Crystal system**: trigonal

a b c (Å): 2.4432 2.4432 10.1210
angles (deg): 83.07 83.07 60.00
Atoms (fractional coordinates):
Co 0.2006 0.2006 0.3982
Co 0.7994 0.7994 0.6018
Co 0.0000 0.0000 0.0000
Cr 0.5991 0.5991 0.2027
Cr 0.4009 0.4009 0.7973

Cr2CoCu | SCAN | PBEsol geometry

Output
**Space-group type**: I-4m2
**Energy of formation from the pure elements**: 0.16 eV/atom
**Excess energy over the best structure of this formula in the dataset**: 0.053 eV per formula unit
**Crystal system**: tetragonal

a b c (Å): 3.5991 3.5991 4.2629
angles (deg): 114.97 114.97 90.00
Each line ends with the local moment (μB).
Atoms (fractional coordinates):
Cr 0.7500 0.2500 0.5000  2.63
Cr 0.0000 0.0000 0.0000  -2.20
Cu 0.5000 0.5000 0.0000  0.10
Co 0.2500 0.7500 0.5000  1.34

Cr2CoCu | SCAN | PBEsol geometry

Output
**Space-group type**: P4/mmm
**Energy of formation from the pure elements**: 0.27 eV/atom
**Excess energy over the best structure of this formula in the dataset**: 0.505 eV per formula unit
**Crystal system**: tetragonal

a b c (Å): 2.4164 2.4164 7.4226
angles (deg): 90.00 90.00 90.00
Atoms (fractional coordinates):
Cr 0.0000 0.0000 0.7370
Cr 0.0000 0.0000 0.2630
Cu 0.5000 0.5000 0.0000
Co 0.5000 0.5000 0.5000

CrCo2Cu | SCAN | PBEsol geometry

Output
**Space-group type**: R-3m
**Energy of formation from the pure elements**: 0.30 eV/atom
**Crystal system**: trigonal

a b c (Å): 2.4602 2.4602 8.1676
angles (deg): 81.34 81.34 60.00
Atoms (fractional coordinates):
Co 0.7531 0.7531 0.7408
Co 0.2469 0.2469 0.2592
Cr 0.5000 0.5000 0.5000
Cu 0.0000 0.0000 0.0000

CrCo2Cu | SCAN | PBEsol geometry

Output
**Space-group type**: I4/mmm
**Energy of formation from the pure elements**: 0.29 eV/atom
**Crystal system**: tetragonal

a b c (Å): 3.5492 3.5492 4.1595
angles (deg): 115.25 115.25 90.00
Atoms (fractional coordinates):
Co 0.7500 0.2500 0.5000
Co 0.2500 0.7500 0.5000
Cr 0.0000 0.0000 0.0000
Cu 0.5000 0.5000 0.0000

Cr2CoCu | SCAN | PBEsol geometry

Output
**Space-group type**: P4mm
**Energy of formation from the pure elements**: 0.15 eV/atom
**Excess energy over the best structure of this formula in the dataset**: 0.000 eV per formula unit
**Crystal system**: tetragonal

a b c (Å): 2.8916 2.8916 5.3196
angles (deg): 90.00 90.00 90.00
Each line ends with the local moment (μB).
Atoms (fractional coordinates):
Cr 0.0000 0.0000 0.9978  -1.83
Cr 0.5000 0.5000 0.2384  2.27
Cu 0.0000 0.0000 0.5065  0.08
Co 0.5000 0.5000 0.7573  1.30

Cr8FeCo2CuS16 | SCAN | PBEsol geometry

Output
**Space-group type**: R3m
**Crystal system**: trigonal
**Formation energy (no corrections)**: -0.94 eV/atom

a b c (Å): 6.8114 6.8114 11.7885
angles (deg): 73.21 73.21 60.00
Each line ends with the local moment (μB).
Atoms (fractional coordinates):
Cr 0.5005 0.0027 0.9964  2.83
Cr 0.5005 0.5005 0.9964  2.83
Cr 0.2512 0.2512 0.2463  2.93
Cr 0.7495 0.7495 0.7516  2.72
Cr 0.0027 0.5005 0.9964  2.83
Cr 0.9952 0.5051 0.5045  2.85
Cr 0.9952 0.9952 0.5045  2.85
Cr 0.5051 0.9952 0.5045  2.85
S 0.3865 0.8691 0.8752  -0.09
S 0.6306 0.6306 0.6268  -0.08
S 0.6306 0.1120 0.6268  -0.08
S 0.3735 0.3735 0.8794  -0.08
S 0.1274 0.1274 0.6178  -0.07
S 0.1374 0.1374 0.1184  -0.07
S 0.8914 0.3638 0.3809  0.01
S 0.8691 0.3865 0.8752  -0.09
S 0.6068 0.1374 0.1184  -0.07
S 0.1374 0.6068 0.1184  -0.07
S 0.3638 0.8914 0.3809  0.01
S 0.6287 0.6287 0.1139  0.01
S 0.8691 0.8691 0.8752  -0.09
S 0.3638 0.3638 0.3809  0.01
S 0.8711 0.8711 0.3867  -0.06
S 0.1120 0.6306 0.6268  -0.08
Fe 0.5626 0.5626 0.3123  3.48
Co 0.4380 0.4380 0.6861  -2.03
Co 0.0625 0.0625 0.8126  -2.04
Cu 0.9378 0.9378 0.1866  -0.04

Cr8CoCu3Se16 | SCAN | PBEsol geometry

Output
**Space-group type**: P-4m2
**Crystal system**: tetragonal
**Formation energy (no corrections)**: -0.72 eV/atom

a b c (Å): 7.2107 7.2107 10.1862
angles (deg): 90.00 90.00 90.00
Each line ends with the local moment (μB).
Atoms (fractional coordinates):
Cr 0.0000 0.7480 0.3746  2.93
Cr 0.0000 0.2520 0.3746  2.93
Cr 0.5000 0.2501 0.8742  2.94
Cr 0.2501 0.5000 0.1258  2.94
Cr 0.5000 0.7499 0.8742  2.94
Cr 0.7480 0.0000 0.6254  2.93
Cr 0.7499 0.5000 0.1258  2.94
Cr 0.2520 0.0000 0.6254  2.93
Cu 0.0000 0.5000 0.7500  -0.10
Cu 0.0000 0.0000 0.0000  -0.13
Cu 0.5000 0.0000 0.2500  -0.10
Se 0.7588 0.5000 0.3712  -0.14
Se 0.7356 0.5000 0.8828  -0.15
Se 0.5000 0.7588 0.6288  -0.14
Se 0.2338 0.0000 0.3821  -0.14
Se 0.5000 0.2412 0.6288  -0.14
Se 0.5000 0.7356 0.1172  -0.15
Se 0.0000 0.2338 0.6179  -0.14
Se 0.7349 0.0000 0.8677  -0.14
Se 0.2651 0.0000 0.8677  -0.14
Se 0.0000 0.2651 0.1323  -0.14
Se 0.2412 0.5000 0.3712  -0.14
Se 0.5000 0.2644 0.1172  -0.15
Se 0.0000 0.7662 0.6179  -0.14
Se 0.7662 0.0000 0.3821  -0.14
Se 0.0000 0.7349 0.1323  -0.14
Se 0.2644 0.5000 0.8828  -0.15
Co 0.5000 0.5000 0.5000  -2.12

Cr6Co2CuSe12 | SCAN | PBEsol geometry

Output
**Space-group type**: C2/m
**Crystal system**: monoclinic
**Formation energy (no corrections)**: -0.67 eV/atom

a b c (Å): 3.5943 6.4785 16.6199
angles (deg): 79.53 83.79 73.89
Each line ends with the local moment (μB).
Atoms (fractional coordinates):
Cr 0.1677 0.0917 0.5729  3.08
Cr 0.8323 0.9083 0.4271  3.08
Cr 0.8349 0.4239 0.9063  3.00
Cr 0.4981 0.2465 0.7573  3.02
Cr 0.5019 0.7535 0.2427  3.02
Cr 0.1651 0.5761 0.0937  3.00
Se 0.0357 0.0828 0.8459  -0.17
Se 0.3037 0.0683 0.3243  -0.14
Se 0.7013 0.4113 0.1861  -0.15
Se 0.9694 0.4074 0.6538  -0.14
Se 0.6441 0.7200 0.9918  -0.16
Se 0.6317 0.2547 0.4818  -0.16
Se 0.9643 0.9172 0.1541  -0.17
Se 0.0306 0.5926 0.3462  -0.14
Se 0.6963 0.9317 0.6757  -0.14
Se 0.3683 0.7453 0.5182  -0.16
Se 0.3559 0.2800 0.0082  -0.16
Se 0.2987 0.5887 0.8139  -0.15
Co 0.6677 0.3302 0.3344  1.21
Co 0.3323 0.6698 0.6656  1.21
Cu 0.0000 0.0000 0.0000  -0.14

CrCoI2F | SCAN | PBEsol geometry

Output
**Space-group type**: P4/mmm
**Crystal system**: tetragonal
**Formation energy (no corrections)**: -0.42 eV/atom

a b c (Å): 3.8009 5.4104 5.4104
angles (deg): 90.00 90.00 90.00
Each line ends with the local moment (μB).
Atoms (fractional coordinates):
Cr 0.0000 0.0000 0.0000  3.59
F 0.5000 0.0000 0.0000  0.04
I 0.0000 0.5000 0.0000  0.02
I 0.0000 0.0000 0.5000  0.02
Co 0.5000 0.5000 0.5000  2.28

CrFe2Co | SCAN | PBEsol geometry

Output
**Space-group type**: Cmmm
**Energy of formation from the pure elements**: 0.20 eV/atom
**Crystal system**: orthorhombic

a b c (Å): 2.4313 4.2423 4.2423
angles (deg): 109.93 90.00 90.00
Each line ends with the local moment (μB).
Atoms (fractional coordinates):
Fe 0.0000 0.5000 0.0000  2.20
Fe 0.0000 0.0000 0.5000  2.20
Cr 0.5000 0.5000 0.5000  -2.03
Co 0.5000 0.0000 0.0000  1.34

CrFe2Co | SCAN | PBEsol geometry

Output
**Space-group type**: R3m
**Energy of formation from the pure elements**: 0.25 eV/atom
**Crystal system**: trigonal

a b c (Å): 2.4312 2.4312 8.1115
angles (deg): 81.38 81.38 60.00
Each line ends with the local moment (μB).
Atoms (fractional coordinates):
Co 0.4997 0.4997 0.5009  1.58
Cr 0.2499 0.2499 0.2502  -0.55
Fe 0.7492 0.7492 0.7524  2.51
Fe 0.0012 0.0012 0.9964  2.04

CrFeCo3 | SCAN | PBEsol geometry

Output
**Space-group type**: Pm-3m
**Energy of formation from the pure elements**: 1.35 eV/atom
**Crystal system**: cubic

a b c (Å): 4.0584 4.0584 4.0584
angles (deg): 90.00 90.00 90.00
Each line ends with the local moment (μB).
Atoms (fractional coordinates):
Cr 0.0000 0.0000 0.0000  -0.12
Fe 0.5000 0.5000 0.5000  3.39
Co 0.0000 0.0000 0.5000  1.04
Co 0.0000 0.5000 0.0000  1.04
Co 0.5000 0.0000 0.0000  1.04

CrFe2Co | SCAN | PBEsol geometry

Output
**Space-group type**: P2/m
**Energy of formation from the pure elements**: 0.05 eV/atom
**Crystal system**: monoclinic

a b c (Å): 2.4018 3.9254 4.6406
angles (deg): 90.00 100.09 90.00
Each line ends with the local moment (μB).
Atoms (fractional coordinates):
Fe 0.2427 0.0000 0.2504  2.56
Fe 0.7573 0.0000 0.7496  2.56
Co 0.5000 0.5000 0.0000  1.78
Cr 0.0000 0.5000 0.5000  -0.61

CrFe2Co | SCAN | PBEsol geometry

Output
**Space-group type**: I4/mmm
**Energy of formation from the pure elements**: 0.08 eV/atom
**Crystal system**: tetragonal

a b c (Å): 3.4524 3.4524 4.2392
angles (deg): 114.03 114.03 90.00
Each line ends with the local moment (μB).
Atoms (fractional coordinates):
Fe 0.7500 0.2500 0.5000  2.37
Fe 0.2500 0.7500 0.5000  2.37
Co 0.5000 0.5000 0.0000  1.25
Cr 0.0000 0.0000 0.0000  -2.46

Mn4CrGa5Co10 | SCAN | PBEsol geometry

Output
**Space-group type**: R-3m
**Energy of formation from the pure elements**: -0.26 eV/atom
**Crystal system**: trigonal

a b c (Å): 3.9798 3.9798 16.4111
angles (deg): 83.04 83.04 60.00
Each line ends with the local moment (μB).
Atoms (fractional coordinates):
Mn 0.4001 0.4001 0.7996  3.02
Mn 0.2000 0.2000 0.4001  2.93
Mn 0.5999 0.5999 0.2004  3.02
Mn 0.8000 0.8000 0.5999  2.93
Co 0.8500 0.8500 0.4501  0.77
Co 0.4500 0.4500 0.6500  0.79
Co 0.9505 0.9505 0.1486  0.78
Co 0.3496 0.3496 0.9512  0.78
Co 0.2500 0.2500 0.2500  0.79
Co 0.7500 0.7500 0.7500  0.79
Co 0.1500 0.1500 0.5499  0.77
Co 0.5500 0.5500 0.3500  0.79
Co 0.0495 0.0495 0.8514  0.78
Co 0.6504 0.6504 0.0488  0.78
Ga 0.9000 0.9000 0.3001  -0.12
Ga 0.5000 0.5000 0.5000  -0.12
Ga 0.2998 0.2998 0.1006  -0.11
Ga 0.7002 0.7002 0.8994  -0.11
Ga 0.1000 0.1000 0.6999  -0.12
Cr 0.0000 0.0000 0.0000  1.27

Cr3CoGe | SCAN | PBEsol geometry

Output
**Space-group type**: Pm-3m
**Energy of formation from the pure elements**: 1.15 eV/atom
**Crystal system**: cubic

a b c (Å): 4.4902 4.4902 4.4902
angles (deg): 90.00 90.00 90.00
Each line ends with the local moment (μB).
Atoms (fractional coordinates):
Ge 0.0000 0.0000 0.0000  -0.12
Co 0.5000 0.5000 0.5000  2.08
Cr 0.5000 0.0000 0.0000  3.45
Cr 0.0000 0.0000 0.5000  3.45
Cr 0.0000 0.5000 0.0000  3.45

Cr3CoH | SCAN | PBEsol geometry

Output
**Space-group type**: Pm-3m
**Crystal system**: cubic

a b c (Å): 3.5703 3.5703 3.5703
angles (deg): 90.00 90.00 90.00
Atoms (fractional coordinates):
Co 0.5000 0.5000 0.5000
Cr 0.0000 0.0000 0.5000
Cr 0.5000 0.0000 0.0000
Cr 0.0000 0.5000 0.0000
H 0.0000 0.0000 0.0000

CrCoH3 | SCAN | PBEsol geometry

Output
**Space-group type**: Pm-3m
**Crystal system**: cubic

a b c (Å): 3.1855 3.1855 3.1855
angles (deg): 90.00 90.00 90.00
Each line ends with the local moment (μB).
Atoms (fractional coordinates):
H 0.0000 0.5000 0.0000  -0.03
H 0.5000 0.0000 0.0000  -0.03
H 0.0000 0.0000 0.5000  -0.03
Cr 0.5000 0.5000 0.5000  3.73
Co 0.0000 0.0000 0.0000  0.42

CrCo3H | SCAN | PBEsol geometry

Output
**Space-group type**: Pm-3m
**Crystal system**: cubic

a b c (Å): 3.5124 3.5124 3.5124
angles (deg): 90.00 90.00 90.00
Each line ends with the local moment (μB).
Atoms (fractional coordinates):
H 0.0000 0.0000 0.0000  0.00
Co 0.0000 0.0000 0.5000  0.29
Co 0.0000 0.5000 0.0000  0.29
Co 0.5000 0.0000 0.0000  0.29
Cr 0.5000 0.5000 0.5000  2.08

HfCrCo2 | SCAN | PBEsol geometry

Output
**Space-group type**: Fm-3m
**Energy of formation from the pure elements**: -0.23 eV/atom
**Crystal system**: cubic

a b c (Å): 4.2077 4.2077 4.2077
angles (deg): 60.00 60.00 60.00
Each line ends with the local moment (μB).
Atoms (fractional coordinates):
Co 0.2500 0.2500 0.2500  1.13
Co 0.7500 0.7500 0.7500  1.13
Hf 0.5000 0.5000 0.5000  -0.40
Cr 0.0000 0.0000 0.0000  2.60

HfCr3Co | SCAN | PBEsol geometry

Output
**Space-group type**: Pm-3m
**Energy of formation from the pure elements**: 2.01 eV/atom
**Crystal system**: cubic

a b c (Å): 4.3724 4.3724 4.3724
angles (deg): 90.00 90.00 90.00
Each line ends with the local moment (μB).
Atoms (fractional coordinates):
Co 0.5000 0.5000 0.5000  1.93
Hf 0.0000 0.0000 0.0000  0.09
Cr 0.5000 0.0000 0.0000  -2.92
Cr 0.0000 0.0000 0.5000  -2.92
Cr 0.0000 0.5000 0.0000  -2.92

HfCrCoSn2 | SCAN | PBEsol geometry

Output
**Space-group type**: P4/mmm
**Energy of formation from the pure elements**: 1.00 eV/atom
**Crystal system**: tetragonal

a b c (Å): 4.3906 5.4030 5.4030
angles (deg): 90.00 90.00 90.00
Each line ends with the local moment (μB).
Atoms (fractional coordinates):
Hf 0.0000 0.0000 0.0000  -0.18
Cr 0.5000 0.5000 0.5000  4.22
Sn 0.0000 0.0000 0.5000  -0.01
Sn 0.0000 0.5000 0.0000  -0.01
Co 0.5000 0.0000 0.0000  1.22

CrCo2Hg | SCAN | PBEsol geometry

Output
**Space-group type**: R3m
**Energy of formation from the pure elements**: 0.61 eV/atom
**Crystal system**: trigonal

a b c (Å): 2.6765 2.6765 8.6305
angles (deg): 81.08 81.08 60.00
Each line ends with the local moment (μB).
Atoms (fractional coordinates):
Co 0.0096 0.0096 0.9712  1.81
Co 0.7498 0.7498 0.7507  1.71
Hg 0.2514 0.2514 0.2458  -0.01
Cr 0.4892 0.4892 0.5323  -1.95

| no. | uncorrected energy (eV/atom) |
| --- | --- |
| 1 | -17.555 |
| 2 | -17.400 |
| 3 | -17.156 |
| 4 | -17.043 |
| 5 | -16.746 |
| 6 | -16.760 |
| 7 | -17.170 |
| 8 | -14.119 |
| 9 | -19.696 |
| 10 | -19.773 |
| 11 | -22.967 |
| 12 | -17.790 |
| 13 | -17.736 |
| 14 | -16.331 |
| 15 | -17.935 |
| 16 | -17.906 |
| 17 | -17.573 |
| 18 | -17.160 |
| 19 | -14.982 |
| 20 | -9.150 |
| 21 | -14.559 |
| 22 | -29.150 |
| 23 | -25.017 |
| 24 | -33.038 |
| 25 | -29.682 |